1.
Material: ScWF2
Method: DFT, SCAN
State: single point on PBEsol structure

Summary:
Energy relative to the elements, uncorrected   -0.3053 eV per atom
E_tot   -368.9 eV per cell
Relative energy among the computed polymorphs   504 kJ/mol of formula units
N(E_F)   13.209 states/eV/cell

POSCAR file:
```
ScWF2
1.0
5.9440 0.0000 0.0000
0.0000 5.9440 0.0000
0.0000 0.0000 5.9440
Sc W F
4 4 8
direct
0.0000 0.0000 0.0000
0.0000 0.5000 0.5000
0.5000 0.0000 0.5000
0.5000 0.5000 0.0000
0.0000 0.0000 0.5000
0.0000 0.5000 0.0000
0.5000 0.0000 0.0000
0.5000 0.5000 0.5000
0.2500 0.2500 0.2500
0.2500 0.2500 0.7500
0.2500 0.7500 0.2500
0.2500 0.7500 0.7500
0.7500 0.2500 0.2500
0.7500 0.2500 0.7500
0.7500 0.7500 0.2500
0.7500 0.7500 0.7500
```

2.
Material: ScZn3F
Method: DFT, SCAN
State: single point on PBEsol structure

Summary:
Energy relative to the elements, uncorrected   -0.3701 eV per atom
E_tot   -60.2 eV per cell
N(E_F)   2.389 states/eV/cell

POSCAR file:
```
ScZn3F
1.0
4.3725 0.0000 0.0000
0.0000 4.3725 0.0000
0.0000 0.0000 4.3725
Sc Zn F
1 3 1
direct
0.0000 0.0000 0.0000
0.0000 0.5000 0.5000
0.5000 0.0000 0.5000
0.5000 0.5000 0.0000
0.5000 0.5000 0.5000
```

3.
Material: Zr2ScF2
Method: DFT, SCAN
State: single point on PBEsol structure

Summary:
Energy relative to the elements, uncorrected   -1.0753 eV per atom
E_tot   -176.2 eV per cell
N(E_F)   6.706 states/eV/cell

POSCAR file:
```
Zr2ScF2
1.0
4.0068 0.0000 0.0000
0.0000 4.0068 0.0000
0.0000 0.0000 10.7908
Zr Sc F
4 2 4
direct
0.0000 0.5000 0.2500
0.0000 0.5000 0.7500
0.5000 0.0000 0.2500
0.5000 0.0000 0.7500
0.0000 0.0000 0.0000
0.5000 0.5000 0.5000
0.0000 0.0000 0.3749
0.0000 0.0000 0.6251
0.5000 0.5000 0.1251
0.5000 0.5000 0.8749
```